Record 1
DFT (GGA-PBE) results for crystalline Dy5Er2Sc3 at its relaxed geometry.

a b c (Å): 9.140 9.110 10.749
angles (deg): 124.67 124.74 70.03
Positions (direct):
Dy (0.283, 0.533, 0.066)
Dy (0.717, 0.467, 0.934)
Dy (0.018, 0.768, 0.535)
Dy (0.519, 0.269, 0.537)
Dy (0.982, 0.232, 0.465)
Dy (0.481, 0.731, 0.463)
Dy (0.889, 0.636, 0.788)
Dy (0.111, 0.364, 0.212)
Dy (0.399, 0.152, 0.788)
Dy (0.601, 0.848, 0.212)
Er (0.790, 0.029, 0.771)
Er (0.210, 0.971, 0.229)
Er (0.481, 0.742, 0.771)
Er (0.519, 0.258, 0.229)
Sc (0.216, 0.966, 0.933)
Sc (0.784, 0.034, 0.067)
Sc (0.722, 0.460, 0.230)
Sc (0.278, 0.540, 0.770)
Sc (0.007, 0.770, 0.230)
Sc (0.993, 0.230, 0.770)

The density of states at the Fermi level is 34.27 states/eV/cell. As for the space group: No. 15. As for the energy of formation from the pure elements: 2.0 eV per formula unit.

***

Record 2
DFT (GGA-PBE) results for crystalline DyEr6Sc at its relaxed geometry.

a b c (Å): 6.891 6.891 6.891
angles (deg): 110.19 110.19 110.19
Positions (direct):
Dy (0.000, 0.000, 0.000)
Er (0.251, 0.739, 0.251)
Er (0.251, 0.251, 0.739)
Er (0.749, 0.261, 0.749)
Er (0.261, 0.749, 0.749)
Er (0.749, 0.749, 0.261)
Er (0.739, 0.251, 0.251)
Sc (0.500, 0.500, 0.500)

The density of states at the Fermi level is 16.13 states/eV/cell. As for the space group: No. 166. As for the energy of formation from the pure elements: 2.0 eV per formula unit.

***

> What is the formula in the second record?

DyEr6Sc